(1)
Compound: SrTl4Cd
Source: Alexandria via LeMat-Bulk
Functional: PBE
Structure: relaxed

- space group = P2_1/m (11)
- energy (Ry/atom) = -0.159
- E_form (eV per atom) = -0.15

Cell: 5.496 7.616 8.885 Å, 90.00 102.53 90.00°
Atoms (fractional coordinates):
Sr (0.180, 0.250, 0.342)
Sr (0.820, 0.750, 0.658)
Tl (0.000, 0.000, 0.000)
Tl (0.000, 0.500, 0.000)
Tl (0.328, 0.027, 0.685)
Tl (0.328, 0.473, 0.685)
Tl (0.483, 0.750, 0.982)
Tl (0.517, 0.250, 0.018)
Tl (0.672, 0.527, 0.315)
Tl (0.672, 0.973, 0.315)
Cd (0.196, 0.750, 0.366)
Cd (0.804, 0.250, 0.634)

(2)
Compound: Sr2Tl4Cd3
Source: Alexandria via LeMat-Bulk
Functional: PBE
Structure: relaxed

- space group = C2/m (12)
- energy (Ry/atom) = -0.143
- E_form (eV per atom) = -0.22

Cell: 5.428 5.428 10.948 Å, 98.70 98.70 57.76°
Atoms (fractional coordinates):
Sr (0.206, 0.206, 0.234)
Sr (0.794, 0.794, 0.766)
Tl (0.148, 0.148, 0.909)
Tl (0.429, 0.429, 0.622)
Tl (0.571, 0.571, 0.378)
Tl (0.852, 0.852, 0.091)
Cd (0.109, 0.109, 0.610)
Cd (0.500, 0.500, 0.000)
Cd (0.891, 0.891, 0.390)

(3)
Compound: Sr3Tl4Cd7
Source: Alexandria via LeMat-Bulk
Functional: PBE
Structure: relaxed

- space group = C2/m (12)
- energy (Ry/atom) = -0.128
- E_form (eV per atom) = -0.24

Cell: 9.424 9.424 10.927 Å, 125.30 125.30 30.59°
Atoms (fractional coordinates):
Sr (0.000, 0.000, 0.000)
Sr (0.295, 0.295, 0.296)
Sr (0.705, 0.705, 0.704)
Tl (0.147, 0.147, 0.860)
Tl (0.338, 0.338, 0.700)
Tl (0.662, 0.662, 0.300)
Tl (0.853, 0.853, 0.140)
Cd (0.000, 0.000, 0.500)
Cd (0.132, 0.132, 0.418)
Cd (0.353, 0.353, 0.988)
Cd (0.498, 0.498, 0.675)
Cd (0.502, 0.502, 0.325)
Cd (0.647, 0.647, 0.012)
Cd (0.868, 0.868, 0.582)

(4)
Compound: SrTlCd3
Source: Alexandria via LeMat-Bulk
Functional: PBE
Structure: relaxed

- space group = I-4m2 (119)
- energy (Ry/atom) = -0.096
- E_form (eV per atom) = 0.05

Cell: 13.229 13.229 13.229 Å, 156.19 156.19 33.92°
Atoms (fractional coordinates):
Sr (0.000, 0.000, 0.000)
Sr (0.750, 0.250, 0.500)
Tl (0.337, 0.337, 0.000)
Tl (0.663, 0.663, 0.000)
Cd (0.097, 0.597, 0.500)
Cd (0.373, 0.124, 0.250)
Cd (0.403, 0.903, 0.500)
Cd (0.874, 0.124, 0.750)
Cd (0.876, 0.126, 0.250)
Cd (0.876, 0.627, 0.750)

(5)
Compound: SrTl2Cd4
Source: Alexandria via LeMat-Bulk
Functional: PBE
Structure: relaxed

- space group = Cmmm (65)
- energy (Ry/atom) = -0.115
- E_form (eV per atom) = -0.12

Cell: 9.275 9.275 4.661 Å, 90.00 90.00 151.03°
Atoms (fractional coordinates):
Sr (0.000, 0.000, 0.000)
Tl (0.415, 0.585, 0.500)
Tl (0.585, 0.415, 0.500)
Cd (0.192, 0.808, 0.500)
Cd (0.307, 0.693, 0.000)
Cd (0.693, 0.307, 0.000)
Cd (0.808, 0.192, 0.500)

(6)
Compound: Sr3Tl7Cd2
Source: Alexandria via LeMat-Bulk
Functional: PBE
Structure: relaxed

- space group = P2/m (10)
- energy (Ry/atom) = -0.160
- E_form (eV per atom) = -0.22

Cell: 5.202 4.513 16.523 Å, 90.00 98.51 90.00°
Atoms (fractional coordinates):
Sr (0.000, 0.000, 0.000)
Sr (0.318, 0.500, 0.639)
Sr (0.682, 0.500, 0.361)
Tl (0.082, 0.500, 0.158)
Tl (0.228, 0.000, 0.455)
Tl (0.414, 0.000, 0.834)
Tl (0.500, 0.500, 0.000)
Tl (0.586, 0.000, 0.166)
Tl (0.772, 0.000, 0.545)
Tl (0.918, 0.500, 0.842)
Cd (0.140, 0.000, 0.279)
Cd (0.860, 0.000, 0.721)